Crystalline KTcSe2O8 at its relaxed geometry, computed with GGA-PBE.

Structure (POSCAR):
```
KTcSe2O8
1.0
5.1244 -0.1650 0.0433
2.2174 4.6227 0.0433
0.3871 0.2350 8.0909
O Se Tc K
8 2 1 1
Direct
0.7406 0.2396 0.8163
0.6947 0.6947 0.3827
0.2594 0.7604 0.1837
0.7648 0.7648 0.0243
0.2396 0.7406 0.8163
0.7604 0.2594 0.1837
0.3053 0.3053 0.6173
0.2352 0.2352 0.9757
0.3694 0.3694 0.8045
0.6306 0.6306 0.1955
0.0000 0.0000 0.0000
0.0000 0.0000 0.5000
```

Computed properties:
- M_tot (Bohr magnetons per cell) = 2.00
- symmetry = No. 12
- ρ (Mg/m³) = 3.611
- formation energy without anion corrections (eV per atom) = -0.926